Crystalline InGe2C2 at its relaxed geometry, computed with PBE-GGA.

a b c (Å): 7.365 7.365 3.205
angles (deg): 90.00 90.00 90.00
Atoms (fractional coordinates):
In 0.000 0.000 0.000
In 0.500 0.500 0.000
Ge 0.668 0.832 0.500
Ge 0.832 0.332 0.500
Ge 0.168 0.668 0.500
Ge 0.332 0.168 0.500
C 0.436 0.936 0.000
C 0.936 0.564 0.000
C 0.564 0.064 0.000
C 0.064 0.436 0.000

Output
* density: 5.4 g/cm³
* ΔH_f (0 K): 1.19 eV/atom
* space-group type: No. 127
* energy above the lowest structure with this stoichiometry: 0.000 eV/atom